1.
Computed, not measured: KYSc2 at its PBEsol-relaxed geometry at the SCAN level of DFT.

Calculated values
DOS(E_F): 10.15 states/eV per cell
ΔH_f (0 K): 0.5720 eV per atom
space group: No. 65
offset from the most stable computed form: 0.0 meV per atom
total DFT energy (no corrections): -15.59 eV/atom

Cell: 7.046 10.327 3.325 Å, 90.00 90.00 90.00°
Sites, in units of the cell vectors:
K 0.000 0.000 0.000
K 0.500 0.500 0.000
Y 0.000 0.500 0.000
Y 0.500 0.000 0.000
Sc 0.250 0.250 0.500
Sc 0.250 0.750 0.500
Sc 0.750 0.250 0.500
Sc 0.750 0.750 0.500

2.
Computed, not measured: K2ScZn at its PBEsol-relaxed geometry at the SCAN level of DFT.

Calculated values
DOS(E_F): 2.72 states/eV per cell
ΔH_f (0 K): 0.1443 eV per atom
space group: No. 99
total DFT energy (no corrections): -10.96 eV/atom

Cell: 3.646 3.646 10.747 Å, 90.00 90.00 90.00°
Sites, in units of the cell vectors:
K 0.000 0.000 0.000
K 0.500 0.500 0.382
Sc 0.000 0.000 0.670
Zn 0.500 0.500 0.769

3.
Computed, not measured: KScZn3 at its PBEsol-relaxed geometry at the SCAN level of DFT.

Calculated values
DOS(E_F): 4.00 states/eV per cell
ΔH_f (0 K): 1.1270 eV per atom
space group: No. 221
total DFT energy (no corrections): -11.50 eV/atom

Cell: 5.100 5.100 5.100 Å, 90.00 90.00 90.00°
Sites, in units of the cell vectors:
K 0.000 0.000 0.000
Sc 0.500 0.500 0.500
Zn 0.000 0.000 0.500
Zn 0.000 0.500 0.000
Zn 0.500 0.000 0.000

4.
Computed, not measured: K2ZrSc at its PBEsol-relaxed geometry at the SCAN level of DFT.

Calculated values
DOS(E_F): 3.34 states/eV per cell
ΔH_f (0 K): 0.8886 eV per atom
space group: No. 47
offset from the most stable computed form: 78.5 meV per atom
total DFT energy (no corrections): -14.51 eV/atom

Cell: 3.070 6.264 6.751 Å, 90.00 90.00 90.00°
Sites, in units of the cell vectors:
K 0.000 0.248 0.000
K 0.000 0.752 0.000
Zr 0.500 0.000 0.500
Sc 0.500 0.500 0.500

5.
Computed, not measured: KZrSc3 at its PBEsol-relaxed geometry at the SCAN level of DFT.

Calculated values
DOS(E_F): 3.55 states/eV per cell
ΔH_f (0 K): 1.2563 eV per atom
space group: No. 221
total DFT energy (no corrections): -15.09 eV/atom

Cell: 4.853 4.853 4.853 Å, 90.00 90.00 90.00°
Sites, in units of the cell vectors:
K 0.000 0.000 0.000
Zr 0.500 0.500 0.500
Sc 0.000 0.000 0.500
Sc 0.000 0.500 0.000
Sc 0.500 0.000 0.000

6.
Computed, not measured: K2ZrSc at its PBEsol-relaxed geometry at the SCAN level of DFT.

Calculated values
DOS(E_F): 15.72 states/eV per cell
ΔH_f (0 K): 0.8100 eV per atom
space group: No. 166
offset from the most stable computed form: 0.0 meV per atom
total DFT energy (no corrections): -14.59 eV/atom

Cell: 3.256 3.256 40.833 Å, 90.00 90.00 120.00°
Sites, in units of the cell vectors:
K 0.000 0.000 0.249
K 0.000 0.000 0.751
K 0.333 0.667 0.417
K 0.333 0.667 0.916
K 0.667 0.333 0.084
K 0.667 0.333 0.583
Zr 0.000 0.000 0.500
Zr 0.333 0.667 0.167
Zr 0.667 0.333 0.833
Sc 0.000 0.000 0.000
Sc 0.333 0.667 0.667
Sc 0.667 0.333 0.333